# Rb2LiNiAs2 PBE relaxed
data_Rb2LiNiAs2
_chemical_formula_sum 'Rb8 Li4 Ni4 As8'
_space_group_name_H-M_alt 'I b a m'
_space_group_IT_number 72
_space_group_name_Hall '-I 2 2c'
_cell_length_a 6.327
_cell_length_b 15.808
_cell_length_c 6.344
_cell_angle_alpha 90.00
_cell_angle_beta 90.00
_cell_angle_gamma 90.00
loop_
_atom_site_label
_atom_site_fract_x
_atom_site_fract_y
_atom_site_fract_z
Rb1 0.226 0.168 0.000
Li1 0.000 0.000 0.250
Ni1 0.000 0.500 0.250
As1 0.209 0.425 0.000
# E_form: -34.8 kJ per mole of atoms
# magnetization: 0.00 μB/cell
# crystal system: orthorhombic